Material: LiVP2Os
Method: DFT, GGA-PBE
State: optimized geometry

Computed properties:
Spin magnetization (μB/cell): 0.0
E_tot (eV per formula unit): -27.395
Energy of formation (eV/atom): 1.137

abc: 4.3668 4.1341 4.3668
angles: 90.00 90.00 90.00
Sites, in units of the cell vectors:
P1 0.0000 0.0000 0.5000
P2 0.5000 0.0000 0.0000
Li1 0.0000 0.5000 0.0000
Os1 0.5000 0.5000 0.5000
V1 0.0000 0.0000 0.0000

---

Material: Tb2Pm3ErBi6
Method: DFT, GGA-PBE
State: optimized geometry

Computed properties:
Spin magnetization (μB/cell): 0.0
E_tot (eV per formula unit): -62.134
Energy of formation (eV/atom): -0.898

abc: 4.5296 9.0539 10.1210
angles: 102.82 102.93 90.00
Sites, in units of the cell vectors:
Tb1 0.8336 0.6667 0.6672
Tb2 0.1664 0.3333 0.3328
Pm1 0.5000 0.5000 0.0000
Pm2 0.8329 0.1664 0.6657
Pm3 0.1671 0.8336 0.3343
Er1 0.5000 0.0000 0.0000
Bi1 0.3356 0.9139 0.6712
Bi2 0.6680 0.5802 0.3360
Bi3 0.6644 0.0861 0.3288
Bi4 0.0010 0.2444 0.0020
Bi5 0.9990 0.7556 0.9980
Bi6 0.3320 0.4198 0.6640

---

Material: Pm4ThSc
Method: DFT, GGA-PBE
State: optimized geometry

Computed properties:
Spin magnetization (μB/cell): 0.0
E_tot (eV per formula unit): -32.478
Energy of formation (eV/atom): 0.046

abc: 3.5868 6.0882 17.6682
angles: 89.80 90.00 90.00
Sites, in units of the cell vectors:
Pm1 0.5003 0.1636 0.3393
Pm2 0.0003 0.3364 0.1607
Pm3 0.4997 0.8364 0.6607
Pm4 0.9997 0.6636 0.8393
Pm5 0.0002 0.6585 0.3373
Pm6 0.5002 0.8415 0.1627
Pm7 0.9998 0.3415 0.6627
Pm8 0.4998 0.1585 0.8373
Th1 0.5000 0.5000 0.5000
Th2 0.0000 0.0000 0.0000
Sc1 0.0000 0.0000 0.5000
Sc2 0.5000 0.5000 0.0000

---

Listing Fermi-level density of states for the structures above in their given order: 1.198; 0.169; 1.329 states/eV/atom.
Listing calculated volume for the structures above in their given order: 15.8; 32.8; 32.2 Å³/atom.